Record 1
First-principles (PBE) data for an optimized crystal structure of AlInHgPb, as listed in the Alexandria database.

a b c (Å): 5.2762 5.2762 5.2762
angles (deg): 60.00 60.00 60.00
With the nearest neighbours (Å) after each atom.
Fractional positions:
Pb1 0.5000 0.5000 0.5000  4 Al 3.23, 4 In 3.23
Al1 0.7500 0.7500 0.7500  4 Pb 3.23, 4 Hg 3.23
Hg1 0.0000 0.0000 0.0000  4 In 3.23, 4 Al 3.23
In1 0.2500 0.2500 0.2500  4 Hg 3.23, 4 Pb 3.23

Properties
For the energy relative to the elements, the calculation gives 0.16 eV per atom.

---

Record 2
First-principles (PBE) data for an optimized crystal structure of Pr4AlInHg2, as listed in the Alexandria database.

a b c (Å): 5.4629 5.4629 9.4670
angles (deg): 73.23 73.23 60.00
With the nearest neighbours (Å) after each atom.
Fractional positions:
Pr1 0.3783 0.3783 0.8650  1 Al 3.26, 4 Hg 3.30-3.38, 3 In 3.38
Pr2 0.8716 0.8716 0.3852  4 Hg 3.31-3.40, 3 Al 3.32, 1 In 3.44
Pr3 0.1284 0.1284 0.6148  4 Hg 3.31-3.40, 3 Al 3.32, 1 In 3.44
Pr4 0.6217 0.6217 0.1350  1 Al 3.26, 4 Hg 3.30-3.38, 3 In 3.38
Al1 0.5000 0.5000 0.5000  8 Pr 3.26-3.32
In1 0.0000 0.0000 0.0000  8 Pr 3.38-3.44
Hg1 0.7480 0.7480 0.7559  8 Pr 3.30-3.40
Hg2 0.2520 0.2520 0.2441  8 Pr 3.30-3.40

Properties
For the energy relative to the elements, the calculation gives -0.42 eV per atom.

---

Record 3
First-principles (PBE) data for an optimized crystal structure of Al2InHgPt, as listed in the Alexandria database.

a b c (Å): 5.2211 5.0667 5.2211
angles (deg): 90.00 90.00 90.00
With the nearest neighbours (Å) after each atom.
Fractional positions:
Al1 0.0000 0.0000 0.5000  2 In 2.61
Al2 0.5000 0.0000 0.0000  2 In 2.61
Hg1 0.5000 0.5000 0.5000  8 Al 3.64, 4 Pt 3.69
Pt1 0.0000 0.5000 0.0000  2 In 2.53
In1 0.0000 0.0000 0.0000  2 Pt 2.53, 4 Al 2.61

Properties
For the energy relative to the elements, the calculation gives 0.71 eV per atom.

---

Record 4
First-principles (PBE) data for an optimized crystal structure of Al2InHgRh, as listed in the Alexandria database.

a b c (Å): 5.1014 5.0087 5.1014
angles (deg): 90.00 90.00 90.00
With the nearest neighbours (Å) after each atom.
Fractional positions:
Al1 0.0000 0.0000 0.5000  2 In 2.55
Al2 0.5000 0.0000 0.0000  2 In 2.55
Rh1 0.0000 0.5000 0.0000  2 In 2.50
Hg1 0.5000 0.5000 0.5000  8 Al 3.57, 4 Rh 3.61
In1 0.0000 0.0000 0.0000  2 Rh 2.50, 4 Al 2.55

Properties
For the energy relative to the elements, the calculation gives 0.87 eV per atom.

---

Record 5
First-principles (PBE) data for an optimized crystal structure of AlInHgS4, as listed in the Alexandria database.

a b c (Å): 7.4878 7.5945 7.5945
angles (deg): 60.24 60.46 60.46
With the nearest neighbours (Å) after each atom.
Fractional positions:
Al1 0.5000 0.0000 0.5000  6 S 2.44-2.48
Al2 0.0000 0.0000 0.5000  6 S 2.44-2.48
In1 0.0000 0.0000 0.0000  6 S 2.61-2.66
In2 0.0000 0.5000 0.5000  6 S 2.61-2.66
Hg1 0.6294 0.6206 0.1206  4 S 2.57-2.58
Hg2 0.3706 0.3794 0.8794  4 S 2.57-2.58
S1 0.7549 0.7811 0.7091  2 Al 2.48, 1 Hg 2.57, 1 In 2.66
S2 0.2451 0.7909 0.7189  2 Al 2.48, 1 Hg 2.57, 1 In 2.66
S3 0.7549 0.2091 0.2811  2 Al 2.48, 1 Hg 2.57, 1 In 2.66
S4 0.2451 0.2189 0.2909  2 Al 2.48, 1 Hg 2.57, 1 In 2.66
S5 0.2122 0.7739 0.2739  1 Al 2.44, 1 Hg 2.58, 2 In 2.61
S6 0.7400 0.7739 0.2739  1 Al 2.44, 1 Hg 2.58, 2 In 2.61
S7 0.2600 0.2261 0.7261  1 Al 2.44, 1 Hg 2.58, 2 In 2.61
S8 0.7878 0.2261 0.7261  1 Al 2.44, 1 Hg 2.58, 2 In 2.61

Properties
As for the formation energy from raw total energies: -0.62 eV/atom.

---

Record 6
First-principles (PBE) data for an optimized crystal structure of ScAlInHg, as listed in the Alexandria database.

a b c (Å): 4.3583 4.3760 4.3265
angles (deg): 90.00 90.00 90.00
With the nearest neighbours (Å) after each atom.
Fractional positions:
Sc1 0.0000 0.0000 0.0000  4 In 3.07, 4 Al 3.08, 4 Hg 3.09
Al1 0.0000 0.5000 0.5000  4 Hg 3.07, 4 Sc 3.08, 4 In 3.09
In1 0.5000 0.0000 0.5000  4 Sc 3.07, 4 Hg 3.08, 4 Al 3.09
Hg1 0.5000 0.5000 0.0000  4 Al 3.07, 4 In 3.08, 4 Sc 3.09

Properties
For the energy relative to the elements, the calculation gives -0.29 eV per atom.

---

Record 7
First-principles (PBE) data for an optimized crystal structure of AlInHg2Se4, as listed in the Alexandria database.

a b c (Å): 6.3897 6.3893 7.5804
angles (deg): 114.93 114.97 90.00
With the nearest neighbours (Å) after each atom.
Fractional positions:
Al1 0.7359 0.7360 0.4717  4 Se 2.44
In1 0.9854 0.4854 0.9718  4 Se 2.83
Hg1 0.4857 0.9858 0.9717  4 Se 2.78
Hg2 0.2365 0.2359 0.4718  4 Se 2.88
Se1 0.6267 0.6329 0.7019  1 Al 2.44
Se2 0.8394 0.3965 0.2421  1 Al 2.44
Se3 0.4022 0.8449 0.2414  1 Al 2.44
Se4 0.0753 0.0696 0.7016  1 Al 2.44

Properties
As for the formation energy from raw total energies: -0.35 eV/atom.

---

Record 8
First-principles (PBE) data for an optimized crystal structure of Sm4AlInHg2, as listed in the Alexandria database.

a b c (Å): 5.3612 5.3612 9.2916
angles (deg): 73.23 73.23 60.00
With the nearest neighbours (Å) after each atom.
Fractional positions:
Sm1 0.3780 0.3780 0.8659  1 Al 3.21, 4 Hg 3.25-3.34, 3 In 3.31
Sm2 0.8720 0.8720 0.3840  4 Hg 3.23-3.32, 3 Al 3.26, 1 In 3.36
Sm3 0.1280 0.1280 0.6160  4 Hg 3.23-3.32, 3 Al 3.26, 1 In 3.36
Sm4 0.6220 0.6220 0.1341  1 Al 3.21, 4 Hg 3.25-3.34, 3 In 3.31
Al1 0.5000 0.5000 0.5000  8 Sm 3.21-3.26
In1 0.0000 0.0000 0.0000  8 Sm 3.31-3.36
Hg1 0.7491 0.7491 0.7528  8 Sm 3.23-3.34
Hg2 0.2509 0.2509 0.2472  8 Sm 3.23-3.34

Properties
For the energy relative to the elements, the calculation gives -0.43 eV per atom.

---

Record 9
First-principles (PBE) data for an optimized crystal structure of AlInSnHg, as listed in the Alexandria database.

a b c (Å): 5.2001 5.2001 5.2001
angles (deg): 60.00 60.00 60.00
With the nearest neighbours (Å) after each atom.
Fractional positions:
Al1 0.0000 0.0000 0.0000  4 Hg 3.18, 4 Sn 3.18
In1 0.5000 0.5000 0.5000  4 Hg 3.18, 4 Sn 3.18
Hg1 0.7500 0.7500 0.7500  4 Al 3.18, 4 In 3.18
Sn1 0.2500 0.2500 0.2500  4 In 3.18, 4 Al 3.18

Properties
For the energy relative to the elements, the calculation gives 0.14 eV per atom.

---

Record 10
First-principles (PBE) data for an optimized crystal structure of Sr2Al4InHg3, as listed in the Alexandria database.

a b c (Å): 4.5847 4.5847 11.5506
angles (deg): 90.00 90.00 90.00
With the nearest neighbours (Å) after each atom.
Fractional positions:
Sr1 0.5000 0.0000 0.2480  8 Al 3.49-3.67, 6 Hg 3.50-3.70, 2 In 3.70
Sr2 0.0000 0.5000 0.7520  8 Al 3.49-3.67, 6 Hg 3.50-3.70, 2 In 3.70
Al1 0.5000 0.5000 0.0000  4 Hg 2.76
Al2 0.0000 0.0000 0.0000  4 Hg 2.76
Al3 0.5000 0.0000 0.6404  3 Hg 2.62-2.81, 2 In 2.81
Al4 0.0000 0.5000 0.3596  3 Hg 2.62-2.81, 2 In 2.81
In1 0.5000 0.5000 0.5000  4 Al 2.81
Hg1 0.0000 0.0000 0.5000  4 Al 2.81
Hg2 0.5000 0.0000 0.8671  5 Al 2.62-2.76
Hg3 0.0000 0.5000 0.1329  5 Al 2.62-2.76

Properties
For the energy relative to the elements, the calculation gives -0.28 eV per atom.

---

Record 11
First-principles (PBE) data for an optimized crystal structure of Sr2AlIn4Hg3, as listed in the Alexandria database.

a b c (Å): 4.7570 4.7570 12.2892
angles (deg): 90.00 90.00 90.00
With the nearest neighbours (Å) after each atom.
Fractional positions:
Sr1 0.5000 0.0000 0.2601  8 In 3.62-3.98, 6 Hg 3.65-3.79, 2 Al 3.79
Sr2 0.0000 0.5000 0.7399  8 In 3.62-3.98, 6 Hg 3.65-3.79, 2 Al 3.79
Al1 0.5000 0.5000 0.5000  4 In 2.87
In1 0.5000 0.5000 0.0000  4 Hg 2.97
In2 0.0000 0.0000 0.0000  4 Hg 2.97
In3 0.5000 0.0000 0.6300  3 Hg 2.77-2.87, 2 Al 2.87
In4 0.0000 0.5000 0.3700  3 Hg 2.77-2.87, 2 Al 2.87
Hg1 0.0000 0.0000 0.5000  4 In 2.87
Hg2 0.5000 0.0000 0.8553  5 In 2.77-2.97
Hg3 0.0000 0.5000 0.1447  5 In 2.77-2.97

Properties
For the energy relative to the elements, the calculation gives -0.28 eV per atom.

---

Record 12
First-principles (PBE) data for an optimized crystal structure of SrAlInHg, as listed in the Alexandria database.

a b c (Å): 5.2882 5.2882 5.2882
angles (deg): 60.00 60.00 60.00
With the nearest neighbours (Å) after each atom.
Fractional positions:
Sr1 0.2500 0.2500 0.2500  4 In 3.24, 4 Hg 3.24
Al1 0.7500 0.7500 0.7500  4 Hg 3.24, 4 In 3.24
Hg1 0.5000 0.5000 0.5000  4 Sr 3.24, 4 Al 3.24
In1 0.0000 0.0000 0.0000  4 Al 3.24, 4 Sr 3.24

Properties
For the energy relative to the elements, the calculation gives -0.20 eV per atom.

---

| no. | energy (eV per cell) |
| --- | --- |
| 1 | -9.87 |
| 2 | -29.60 |
| 3 | -13.03 |
| 4 | -13.52 |
| 5 | -55.20 |
| 6 | -14.27 |
| 7 | -23.82 |
| 8 | -29.44 |
| 9 | -10.24 |
| 10 | -24.73 |
| 11 | -21.74 |
| 12 | -9.27 |